# 1
DFT (GGA-PBE) results for a relaxed La2ZnAgIr crystal.

Properties
energy of formation from the pure elements	-347	meV per atom
energy above the lowest structure with this stoichiometry	146	meV per atom

abc: 5.516 5.516 4.883
angles: 90.00 90.00 90.00
Atoms (fractional coordinates):
La: 0.000 0.500 0.000
La: 0.500 0.000 0.000
Zn: 0.000 0.000 0.500
Ag: 0.500 0.500 0.500
Ir: 0.000 0.000 0.000



# 2
DFT (GGA-PBE) results for a relaxed La2ZnAgIr crystal.

Properties
energy of formation from the pure elements	-493	meV per atom
energy above the lowest structure with this stoichiometry	0	meV per atom

abc: 7.817 4.337 7.860
angles: 90.00 109.59 90.00
Atoms (fractional coordinates):
La: 0.127 0.250 0.351
La: 0.278 0.250 0.960
La: 0.722 0.750 0.040
La: 0.873 0.750 0.649
Zn: 0.450 0.750 0.340
Zn: 0.550 0.250 0.660
Ag: 0.336 0.750 0.663
Ag: 0.664 0.250 0.337
Ir: 0.127 0.750 0.107
Ir: 0.873 0.250 0.893



# 3
DFT (GGA-PBE) results for a relaxed LaZn2AgIr crystal.

Properties
energy of formation from the pure elements	1818	meV per atom

abc: 5.494 5.494 5.449
angles: 90.00 90.00 90.00
Atoms (fractional coordinates):
La: 0.000 0.000 0.000
Zn: 0.000 0.500 0.000
Zn: 0.500 0.000 0.000
Ag: 0.000 0.000 0.500
Ir: 0.500 0.500 0.500



# 4
DFT (GGA-PBE) results for a relaxed LaZnAg2Ir crystal.

Properties
energy of formation from the pure elements	637	meV per atom

abc: 4.635 4.635 5.730
angles: 90.00 90.00 90.00
Atoms (fractional coordinates):
La: 0.000 0.000 0.000
Zn: 0.000 0.000 0.500
Ag: 0.000 0.500 0.500
Ag: 0.500 0.000 0.500
Ir: 0.500 0.500 0.000



# 5
DFT (GGA-PBE) results for a relaxed LiAgIr2 crystal.

Properties
energy of formation from the pure elements	28	meV per atom

abc: 2.761 3.941 5.594
angles: 90.00 90.14 90.00
Atoms (fractional coordinates):
Li: 0.000 0.000 0.000
Ag: 0.499 0.500 0.789
Ir: 0.499 0.500 0.291
Ir: 0.999 0.000 0.463



# 6
DFT (GGA-PBE) results for a relaxed LiAgIr2 crystal.

Properties
energy of formation from the pure elements	186	meV per atom

abc: 2.742 2.742 9.394
angles: 90.00 90.00 119.84
Atoms (fractional coordinates):
Li: 0.000 0.000 0.000
Ag: 0.500 0.500 0.252
Ir: 0.000 0.000 0.523
Ir: 0.500 0.500 0.764



# 7
DFT (GGA-PBE) results for a relaxed LiAg2Ir crystal.

Properties
energy of formation from the pure elements	186	meV per atom

abc: 2.782 4.783 4.791
angles: 90.00 90.00 90.00
Atoms (fractional coordinates):
Li: 0.000 0.000 0.000
Ag: 0.000 0.500 0.500
Ag: 0.500 0.000 0.500
Ir: 0.500 0.500 0.000



# 8
DFT (GGA-PBE) results for a relaxed LiAg2Ir crystal.

Properties
energy of formation from the pure elements	124	meV per atom

abc: 9.583 9.583 9.583
angles: 16.71 16.71 16.71
Atoms (fractional coordinates):
Li: 0.000 0.000 0.000
Ag: 0.253 0.253 0.253
Ag: 0.747 0.747 0.747
Ir: 0.500 0.500 0.500



# 9
DFT (GGA-PBE) results for a relaxed LiAgIr crystal.

Properties
energy of formation from the pure elements	680	meV per atom
energy above the lowest structure with this stoichiometry	666	meV per atom

abc: 4.042 4.042 4.042
angles: 60.00 60.00 60.00
Atoms (fractional coordinates):
Li: 0.000 0.000 0.000
Ag: 0.750 0.750 0.750
Ir: 0.250 0.250 0.250



# 10
DFT (GGA-PBE) results for a relaxed LiAg2Ir crystal.

Properties
energy of formation from the pure elements	233	meV per atom

abc: 4.749 4.749 4.749
angles: 128.62 128.62 75.63
Atoms (fractional coordinates):
Li: 0.000 0.000 0.000
Ag: 0.250 0.750 0.500
Ag: 0.750 0.250 0.500
Ir: 0.500 0.500 0.000



# 11
DFT (GGA-PBE) results for a relaxed LiAg2Ir crystal.

Properties
energy of formation from the pure elements	115	meV per atom

abc: 4.947 4.947 4.945
angles: 98.56 98.56 32.16
Atoms (fractional coordinates):
Li: 0.000 0.000 0.000
Ag: 0.245 0.245 0.745
Ag: 0.491 0.491 0.475
Ir: 0.744 0.744 0.238



# 12
DFT (GGA-PBE) results for a relaxed LiAgIr2 crystal.

Properties
energy of formation from the pure elements	208	meV per atom

abc: 4.596 4.596 4.596
angles: 128.01 128.01 76.61
Atoms (fractional coordinates):
Li: 0.000 0.000 0.000
Ag: 0.250 0.750 0.500
Ir: 0.500 0.500 0.000
Ir: 0.750 0.250 0.500



# 13
DFT (GGA-PBE) results for a relaxed LiAgIr2 crystal.

Properties
energy of formation from the pure elements	49	meV per atom

abc: 4.686 4.686 4.947
angles: 97.74 97.74 34.26
Atoms (fractional coordinates):
Li: 0.000 0.000 0.000
Ag: 0.754 0.754 0.181
Ir: 0.245 0.245 0.677
Ir: 0.503 0.503 0.531



# 14
DFT (GGA-PBE) results for a relaxed Li4AgIr crystal.

Properties
energy of formation from the pure elements	59	meV per atom

abc: 4.853 4.853 4.853
angles: 60.00 60.00 60.00
Atoms (fractional coordinates):
Li: 0.377 0.377 0.377
Li: 0.377 0.377 0.869
Li: 0.377 0.869 0.377
Li: 0.869 0.377 0.377
Ag: 0.000 0.000 0.000
Ir: 0.750 0.750 0.750



# 15
DFT (GGA-PBE) results for a relaxed LiAg2Ir crystal.

Properties
energy of formation from the pure elements	69	meV per atom

abc: 4.902 4.902 2.769
angles: 90.00 90.00 108.55
Atoms (fractional coordinates):
Li: 0.000 0.000 0.000
Ag: 0.000 0.500 0.500
Ag: 0.500 0.000 0.500
Ir: 0.500 0.500 0.000



# 16
DFT (GGA-PBE) results for a relaxed LiAg2Ir crystal.

Properties
energy of formation from the pure elements	224	meV per atom

abc: 4.961 4.961 4.961
angles: 133.41 133.41 68.01
Atoms (fractional coordinates):
Li: 0.000 0.000 0.000
Ag: 0.250 0.750 0.500
Ag: 0.500 0.500 0.000
Ir: 0.750 0.250 0.500



# 17
DFT (GGA-PBE) results for a relaxed LiAg2Ir crystal.

Properties
energy of formation from the pure elements	138	meV per atom

abc: 2.653 4.425 5.526
angles: 90.00 102.97 90.00
Atoms (fractional coordinates):
Li: 0.000 0.000 0.000
Ag: 0.404 0.500 0.243
Ag: 0.596 0.500 0.757
Ir: 0.000 0.000 0.500



# 18
DFT (GGA-PBE) results for a relaxed LiAgIr4 crystal.

Properties
energy of formation from the pure elements	342	meV per atom

abc: 5.207 5.207 5.207
angles: 60.00 60.00 60.00
Atoms (fractional coordinates):
Li: 0.000 0.000 0.000
Ag: 0.250 0.250 0.250
Ir: 0.125 0.625 0.625
Ir: 0.625 0.125 0.625
Ir: 0.625 0.625 0.125
Ir: 0.625 0.625 0.625



# 19
DFT (GGA-PBE) results for a relaxed LiAgIr2 crystal.

Properties
energy of formation from the pure elements	153	meV per atom

abc: 2.682 2.682 9.439
angles: 90.00 90.00 117.72
Atoms (fractional coordinates):
Li: 0.000 0.000 0.000
Ag: 0.000 0.000 0.500
Ir: 0.500 0.500 0.236
Ir: 0.500 0.500 0.764



# 20
DFT (GGA-PBE) results for a relaxed Li6AgIr2 crystal.

Properties
energy of formation from the pure elements	-169	meV per atom

abc: 7.564 7.564 2.557
angles: 90.00 90.00 120.00
Atoms (fractional coordinates):
Li: 0.000 0.344 0.000
Li: 0.000 0.656 0.000
Li: 0.344 0.000 0.000
Li: 0.344 0.344 0.000
Li: 0.656 0.000 0.000
Li: 0.656 0.656 0.000
Ag: 0.000 0.000 0.500
Ir: 0.333 0.667 0.500
Ir: 0.667 0.333 0.500



no.,magnetization (Bohr magnetons per cell)
1,0.000
2,0.000
3,1.178
4,0.000
5,0.000
6,0.000
7,0.001
8,0.098
9,0.000
10,0.000
11,0.010
12,0.000
13,0.000
14,0.000
15,0.000
16,0.000
17,0.000
18,2.417
19,0.000
20,0.000